Density functional theory data (GGA-PBE) for a relaxed structure of LaNiBr2.

E_form (uncorrected): -2.36 eV/f.u.

```
LaNiBr2
1.0
0.000 3.608 3.608
3.608 0.000 3.608
3.608 3.608 0.000
Br Ni La
2 1 1
Cartesian
5.412 5.412 5.412 Br
1.804 1.804 1.804 Br
0.000 0.000 0.000 Ni
3.608 3.608 3.608 La
```